{"formula": "La2Cd3", "functional": "SCAN", "state": "PBEsol geometry", "e_form_ev_per_atom": -0.1196, "volume_a3_per_fu": 139.5, "lattice": [[3.571, 0.000, 0.000], [-1.785, 3.092, 0.000], [0.000, 0.000, 37.888]], "species": ["La", "La", "La", "La", "La", "La", "Cd", "Cd", "Cd", "Cd", "Cd", "Cd", "Cd", "Cd", "Cd"], "fractional_positions": [[0.000, 0.000, 0.098], [0.000, 0.000, 0.902], [0.333, 0.667, 0.569], [0.333, 0.667, 0.764], [0.667, 0.333, 0.236], [0.667, 0.333, 0.431], [0.000, 0.000, 0.305], [0.000, 0.000, 0.500], [0.000, 0.000, 0.695], [0.333, 0.667, 0.167], [0.333, 0.667, 0.361], [0.333, 0.667, 0.972], [0.667, 0.333, 0.028], [0.667, 0.333, 0.639], [0.667, 0.333, 0.833]]}

{"formula": "Tc3W4", "functional": "SCAN", "state": "PBEsol geometry", "e_form_ev_per_atom": 0.0454, "volume_a3_per_fu": 105.4, "lattice": [[3.110, 0.000, 0.000], [0.000, 3.110, 0.000], [0.000, 0.000, 21.798]], "species": ["Tc", "Tc", "Tc", "Tc", "Tc", "Tc", "W", "W", "W", "W", "W", "W", "W", "W"], "fractional_positions": [[0.000, 0.000, 0.000], [0.000, 0.000, 0.288], [0.000, 0.000, 0.712], [0.500, 0.500, 0.212], [0.500, 0.500, 0.500], [0.500, 0.500, 0.788], [0.000, 0.000, 0.144], [0.000, 0.000, 0.428], [0.000, 0.000, 0.572], [0.000, 0.000, 0.856], [0.500, 0.500, 0.072], [0.500, 0.500, 0.356], [0.500, 0.500, 0.644], [0.500, 0.500, 0.928]]}

{"formula": "CaTlB3", "functional": "SCAN", "state": "PBEsol geometry", "e_form_ev_per_atom": 1.9383, "volume_a3_per_fu": 94.5, "lattice": [[4.555, 0.000, 0.000], [0.000, 4.555, 0.000], [0.000, 0.000, 4.555]], "species": ["Ca", "Tl", "B", "B", "B"], "fractional_positions": [[0.000, 0.000, 0.000], [0.500, 0.500, 0.500], [0.000, 0.500, 0.500], [0.500, 0.000, 0.500], [0.500, 0.500, 0.000]]}

{"formula": "Li5V4O8", "functional": "SCAN", "state": "PBEsol geometry", "raw_formation_energy_mev_per_atom": -2403, "volume_a3_per_fu": 140.0, "lattice": [[0.000, 4.122, 4.122], [4.122, 0.000, 4.122], [4.122, 4.122, 0.000]], "species": ["Li", "Li", "Li", "Li", "Li", "V", "V", "V", "V", "O", "O", "O", "O", "O", "O", "O", "O"], "fractional_positions": [[0.000, 0.000, 0.000], [0.433, 0.856, 0.856], [0.856, 0.433, 0.856], [0.856, 0.856, 0.433], [0.856, 0.856, 0.856], [0.375, 0.375, 0.375], [0.375, 0.375, 0.876], [0.375, 0.876, 0.375], [0.876, 0.375, 0.375], [0.128, 0.128, 0.128], [0.128, 0.128, 0.617], [0.128, 0.617, 0.128], [0.135, 0.622, 0.622], [0.617, 0.128, 0.128], [0.622, 0.135, 0.622], [0.622, 0.622, 0.135], [0.622, 0.622, 0.622]]}

{"formula": "Tb2SbO2", "functional": "SCAN", "state": "PBEsol geometry", "raw_formation_energy_mev_per_atom": -2984, "volume_a3_per_fu": 96.2, "lattice": [[3.818, 0.000, 0.000], [0.000, 3.818, 0.000], [0.000, 0.000, 13.194]], "species": ["Tb", "Tb", "Tb", "Tb", "Sb", "Sb", "O", "O", "O", "O"], "fractional_positions": [[0.000, 0.000, 0.165], [0.000, 0.000, 0.835], [0.500, 0.500, 0.335], [0.500, 0.500, 0.665], [0.000, 0.000, 0.500], [0.500, 0.500, 0.000], [0.000, 0.500, 0.250], [0.000, 0.500, 0.750], [0.500, 0.000, 0.250], [0.500, 0.000, 0.750]]}

{"formula": "Ba2CaRh", "functional": "SCAN", "state": "PBEsol geometry", "e_form_ev_per_atom": -0.1508, "volume_a3_per_fu": 157.6, "lattice": [[10.413, 0.000, 0.000], [0.000, 4.000, 0.000], [-2.779, 0.000, 7.570]], "species": ["Ba", "Ba", "Ba", "Ba", "Ca", "Ca", "Rh", "Rh"], "fractional_positions": [[0.000, 0.000, 0.000], [0.157, 0.000, 0.590], [0.500, 0.500, 0.000], [0.657, 0.500, 0.590], [0.344, 0.000, 0.297], [0.844, 0.500, 0.297], [0.128, 0.500, 0.296], [0.628, 0.000, 0.296]]}

{"formula": "InRu2Rh", "functional": "SCAN", "state": "PBEsol geometry", "e_form_ev_per_atom": 0.2288, "volume_a3_per_fu": 59.6, "lattice": [[2.750, 0.000, 0.000], [0.000, 3.805, 0.000], [0.000, 0.000, 5.697]], "species": ["In", "Ru", "Ru", "Rh"], "fractional_positions": [[0.000, 0.000, 0.000], [0.500, 0.500, 0.275], [0.500, 0.500, 0.725], [0.000, 0.000, 0.500]]}

{"formula": "BiTeIrI2", "functional": "SCAN", "state": "PBEsol geometry", "raw_formation_energy_mev_per_atom": 419, "volume_a3_per_fu": 145.9, "lattice": [[5.304, 0.000, 0.000], [0.000, 5.304, 0.000], [0.000, 0.000, 5.188]], "species": ["Bi", "Te", "Ir", "I", "I"], "fractional_positions": [[0.000, 0.000, 0.000], [0.500, 0.500, 0.000], [0.500, 0.500, 0.500], [0.000, 0.500, 0.500], [0.500, 0.000, 0.500]]}

{"formula": "InCu2Pt", "functional": "SCAN", "state": "PBEsol geometry", "e_form_ev_per_atom": -0.2234, "volume_a3_per_fu": 57.5, "lattice": [[3.903, 0.000, 0.000], [0.000, 3.903, 0.000], [0.000, 0.000, 3.775]], "species": ["In", "Cu", "Cu", "Pt"], "fractional_positions": [[0.000, 0.000, 0.000], [0.000, 0.500, 0.500], [0.500, 0.000, 0.500], [0.500, 0.500, 0.000]]}

{"formula": "Ba13Si6Sn8As22", "functional": "SCAN", "state": "PBEsol geometry", "raw_formation_energy_mev_per_atom": -776, "volume_a3_per_fu": 1403.9, "lattice": [[-7.210, 7.210, 6.752], [7.210, -7.210, 6.752], [7.210, 7.210, -6.752]], "species": ["Ba", "Ba", "Ba", "Ba", "Ba", "Ba", "Ba", "Ba", "Ba", "Ba", "Ba", "Ba", "Ba", "Si", "Si", "Si", "Si", "Si", "Si", "Sn", "Sn", "Sn", "Sn", "Sn", "Sn", "Sn", "Sn", "As", "As", "As", "As", "As", "As", "As", "As", "As", "As", "As", "As", "As", "As", "As", "As", "As", "As", "As", "As", "As", "As"], "fractional_positions": [[0.000, 0.000, 0.000], [0.047, 0.289, 0.507], [0.159, 0.494, 0.000], [0.217, 0.711, 0.758], [0.289, 0.047, 0.507], [0.459, 0.953, 0.242], [0.494, 0.159, 0.000], [0.506, 0.506, 0.665], [0.541, 0.783, 0.493], [0.711, 0.217, 0.758], [0.783, 0.541, 0.493], [0.841, 0.841, 0.335], [0.953, 0.459, 0.242], [0.250, 0.750, 0.500], [0.315, 0.315, 0.832], [0.483, 0.483, 0.168], [0.517, 0.685, 0.000], [0.685, 0.517, 0.000], [0.750, 0.250, 0.500], [0.060, 0.786, 0.179], [0.118, 0.940, 0.726], [0.214, 0.393, 0.274], [0.393, 0.214, 0.274], [0.607, 0.882, 0.821], [0.786, 0.060, 0.179], [0.882, 0.607, 0.821], [0.940, 0.118, 0.726], [0.052, 0.749, 0.489], [0.121, 0.121, 0.640], [0.146, 0.808, 0.000], [0.192, 0.192, 0.337], [0.251, 0.740, 0.303], [0.260, 0.563, 0.511], [0.279, 0.279, 0.000], [0.312, 0.500, 0.812], [0.437, 0.948, 0.697], [0.481, 0.481, 0.360], [0.500, 0.312, 0.812], [0.500, 0.688, 0.188], [0.519, 0.879, 0.000], [0.563, 0.260, 0.511], [0.688, 0.500, 0.188], [0.721, 0.721, 0.000], [0.740, 0.251, 0.303], [0.749, 0.052, 0.489], [0.808, 0.146, 0.000], [0.854, 0.854, 0.663], [0.879, 0.519, 0.000], [0.948, 0.437, 0.697]]}

{"formula": "AlNi6W", "functional": "SCAN", "state": "PBEsol geometry", "e_form_ev_per_atom": -0.2439, "volume_a3_per_fu": 89.8, "lattice": [[3.553, -5.026, 0.000], [3.553, 5.026, 0.000], [0.000, 0.000, 10.057]], "species": ["Al", "Al", "Al", "Al", "Ni", "Ni", "Ni", "Ni", "Ni", "Ni", "Ni", "Ni", "Ni", "Ni", "Ni", "Ni", "Ni", "Ni", "Ni", "Ni", "Ni", "Ni", "Ni", "Ni", "Ni", "Ni", "Ni", "Ni", "W", "W", "W", "W"], "fractional_positions": [[0.000, 0.000, 0.246], [0.000, 0.000, 0.754], [0.252, 0.748, 0.000], [0.748, 0.252, 0.000], [0.000, 0.000, 0.000], [0.000, 0.000, 0.500], [0.126, 0.375, 0.125], [0.126, 0.375, 0.875], [0.126, 0.376, 0.375], [0.126, 0.376, 0.625], [0.251, 0.749, 0.251], [0.251, 0.749, 0.749], [0.375, 0.126, 0.125], [0.375, 0.126, 0.875], [0.376, 0.126, 0.375], [0.376, 0.126, 0.625], [0.500, 0.500, 0.000], [0.500, 0.500, 0.500], [0.624, 0.874, 0.375], [0.624, 0.874, 0.625], [0.625, 0.874, 0.125], [0.625, 0.874, 0.875], [0.749, 0.251, 0.251], [0.749, 0.251, 0.749], [0.874, 0.624, 0.375], [0.874, 0.624, 0.625], [0.874, 0.625, 0.125], [0.874, 0.625, 0.875], [0.252, 0.748, 0.500], [0.500, 0.500, 0.243], [0.500, 0.500, 0.757], [0.748, 0.252, 0.500]]}

{"formula": "NiAg2Os", "functional": "SCAN", "state": "PBEsol geometry", "e_form_ev_per_atom": 0.6099, "volume_a3_per_fu": 58.7, "lattice": [[2.664, 0.000, 0.000], [0.000, 4.704, 0.000], [0.000, 0.000, 9.371]], "species": ["Ni", "Ni", "Ag", "Ag", "Ag", "Ag", "Os", "Os"], "fractional_positions": [[0.000, 0.000, 0.000], [0.500, 0.500, 0.500], [0.000, 0.000, 0.483], [0.000, 0.500, 0.256], [0.500, 0.000, 0.756], [0.500, 0.500, 0.983], [0.000, 0.500, 0.714], [0.500, 0.000, 0.214]]}

no.,size of the total moment (μB per atom),DFT total energy (eV/atom)
1,0.0000,-35.610
2,0.0000,-54.802
3,0.0000,-18.924
4,0.5294,-10.153
5,0.0000,-31.634
6,0.0108,-30.785
7,0.0001,-33.974
8,0.0000,-51.663
9,0.0001,-33.718
10,0.0000,-27.425
11,0.0001,-22.054
12,0.2963,-37.087